--- A ---
# Ca2MgCd PBE relaxed
# Size of the total moment   0.00 Bohr magnetons per cell
# D(E_F)   3.9 states/eV per cell
data_Ca2MgCd
_chemical_formula_sum 'Ca2 Mg1 Cd1'
_symmetry_space_group_name_H-M 'P 4/m m m'
_symmetry_Int_Tables_number 123
_symmetry_space_group_name_Hall '-P 4 2'
_cell_length_a 3.8026
_cell_length_b 3.8026
_cell_length_c 8.1967
_cell_angle_alpha 90.00
_cell_angle_beta 90.00
_cell_angle_gamma 90.00
loop_
_atom_site_label
_atom_site_type_symbol
_atom_site_fract_x
_atom_site_fract_y
_atom_site_fract_z
Ca1 Ca 0.0000 0.0000 0.2363
Mg1 Mg 0.5000 0.5000 0.5000
Cd1 Cd 0.5000 0.5000 0.0000

=====

--- B ---
# Ca2MgCd PBE relaxed
# Size of the total moment   0.00 Bohr magnetons per cell
# D(E_F)   7.5 states/eV per cell
data_Ca2MgCd
_chemical_formula_sum 'Ca4 Mg2 Cd2'
_symmetry_space_group_name_H-M 'I -4 m 2'
_symmetry_Int_Tables_number 119
_symmetry_space_group_name_Hall 'I -4 -2'
_cell_length_a 4.7999
_cell_length_b 4.7999
_cell_length_c 10.5040
_cell_angle_alpha 90.00
_cell_angle_beta 90.00
_cell_angle_gamma 90.00
loop_
_atom_site_label
_atom_site_type_symbol
_atom_site_fract_x
_atom_site_fract_y
_atom_site_fract_z
Ca1 Ca 0.0000 0.0000 0.0000
Ca2 Ca 0.0000 0.5000 0.2500
Mg1 Mg 0.0000 0.0000 0.5000
Cd1 Cd 0.0000 0.5000 0.7500

=====

--- C ---
# Ca2MgCd PBE relaxed
# Size of the total moment   0.00 Bohr magnetons per cell
# D(E_F)   6.0 states/eV per cell
data_Ca2MgCd
_chemical_formula_sum 'Ca4 Mg2 Cd2'
_symmetry_space_group_name_H-M 'I m m m'
_symmetry_Int_Tables_number 71
_symmetry_space_group_name_Hall '-I 2 2'
_cell_length_a 3.5390
_cell_length_b 5.9256
_cell_length_c 13.2558
_cell_angle_alpha 90.00
_cell_angle_beta 90.00
_cell_angle_gamma 90.00
loop_
_atom_site_label
_atom_site_type_symbol
_atom_site_fract_x
_atom_site_fract_y
_atom_site_fract_z
Ca1 Ca 0.0000 0.0000 0.2315
Mg1 Mg 0.0000 0.0000 0.5000
Cd1 Cd 0.0000 0.0000 0.0000

=====

--- D ---
# Ca2MgCd PBE relaxed
# Size of the total moment   0.00 Bohr magnetons per cell
# D(E_F)   7.2 states/eV per cell
data_Ca2MgCd
_chemical_formula_sum 'Ca8 Mg4 Cd4'
_symmetry_space_group_name_H-M 'F -4 3 m'
_symmetry_Int_Tables_number 216
_symmetry_space_group_name_Hall 'F -4 2 3'
_cell_length_a 7.6243
_cell_length_b 7.6243
_cell_length_c 7.6243
_cell_angle_alpha 90.00
_cell_angle_beta 90.00
_cell_angle_gamma 90.00
loop_
_atom_site_label
_atom_site_type_symbol
_atom_site_fract_x
_atom_site_fract_y
_atom_site_fract_z
Ca1 Ca 0.0000 0.0000 0.0000
Ca2 Ca 0.2500 0.2500 0.2500
Mg1 Mg 0.2500 0.2500 0.7500
Cd1 Cd 0.0000 0.0000 0.5000

=====

Q: Which of them is the most stable? A: A.

=====

--- A ---
# Ca2MgCd PBE relaxed
# Size of the total moment   0.00 Bohr magnetons per cell
# D(E_F)   11.5 states/eV per cell
data_Ca2MgCd
_chemical_formula_sum 'Ca8 Mg4 Cd4'
_symmetry_space_group_name_H-M 'F m -3 m'
_symmetry_Int_Tables_number 225
_symmetry_space_group_name_Hall '-F 4 2 3'
_cell_length_a 7.7833
_cell_length_b 7.7833
_cell_length_c 7.7833
_cell_angle_alpha 90.00
_cell_angle_beta 90.00
_cell_angle_gamma 90.00
loop_
_atom_site_label
_atom_site_type_symbol
_atom_site_fract_x
_atom_site_fract_y
_atom_site_fract_z
Ca1 Ca 0.2500 0.2500 0.2500
Mg1 Mg 0.0000 0.0000 0.0000
Cd1 Cd 0.0000 0.0000 0.5000

=====

--- B ---
# Ca2MgCd PBE relaxed
# Size of the total moment   0.00 Bohr magnetons per cell
# D(E_F)   7.3 states/eV per cell
data_Ca2MgCd
_chemical_formula_sum 'Ca6 Mg3 Cd3'
_symmetry_space_group_name_H-M 'R 3 m'
_symmetry_Int_Tables_number 160
_symmetry_space_group_name_Hall 'R 3 -2"'
_cell_length_a 3.7539
_cell_length_b 3.7539
_cell_length_c 31.7068
_cell_angle_alpha 90.00
_cell_angle_beta 90.00
_cell_angle_gamma 120.00
loop_
_atom_site_label
_atom_site_type_symbol
_atom_site_fract_x
_atom_site_fract_y
_atom_site_fract_z
Ca1 Ca 0.0000 0.0000 0.0000
Ca2 Ca 0.0000 0.0000 0.2303
Mg1 Mg 0.0000 0.0000 0.4776
Cd1 Cd 0.0000 0.0000 0.7447

=====

Q: Which of them is the most stable? A: A.

=====

--- A ---
# Ca2MgCd PBE relaxed
# Size of the total moment   0.00 Bohr magnetons per cell
# D(E_F)   5.4 states/eV per cell
data_Ca2MgCd
_chemical_formula_sum 'Ca4 Mg2 Cd2'
_symmetry_space_group_name_H-M 'I m m 2'
_symmetry_Int_Tables_number 44
_symmetry_space_group_name_Hall 'I 2 -2'
_cell_length_a 3.7415
_cell_length_b 5.6162
_cell_length_c 11.4300
_cell_angle_alpha 90.00
_cell_angle_beta 90.00
_cell_angle_gamma 90.00
loop_
_atom_site_label
_atom_site_type_symbol
_atom_site_fract_x
_atom_site_fract_y
_atom_site_fract_z
Ca1 Ca 0.0000 0.0000 0.0000
Ca2 Ca 0.0000 0.5000 0.2077
Mg1 Mg 0.0000 0.5000 0.7667
Cd1 Cd 0.0000 0.0000 0.4682

=====

--- B ---
# Ca2MgCd PBE relaxed
# Size of the total moment   0.00 Bohr magnetons per cell
# D(E_F)   9.6 states/eV per cell
data_Ca2MgCd
_chemical_formula_sum 'Ca6 Mg3 Cd3'
_symmetry_space_group_name_H-M 'R 3 m'
_symmetry_Int_Tables_number 160
_symmetry_space_group_name_Hall 'R 3 -2"'
_cell_length_a 3.8250
_cell_length_b 3.8250
_cell_length_c 30.7359
_cell_angle_alpha 90.00
_cell_angle_beta 90.00
_cell_angle_gamma 120.00
loop_
_atom_site_label
_atom_site_type_symbol
_atom_site_fract_x
_atom_site_fract_y
_atom_site_fract_z
Ca1 Ca 0.0000 0.0000 0.0000
Ca2 Ca 0.0000 0.0000 0.1752
Mg1 Mg 0.0000 0.0000 0.4212
Cd1 Cd 0.0000 0.0000 0.5875

=====

--- C ---
# Ca2MgCd PBE relaxed
# Size of the total moment   0.00 Bohr magnetons per cell
# D(E_F)   14.4 states/eV per cell
data_Ca2MgCd
_chemical_formula_sum 'Ca8 Mg4 Cd4'
_symmetry_space_group_name_H-M 'I -4 2 d'
_symmetry_Int_Tables_number 122
_symmetry_space_group_name_Hall 'I -4 2bw'
_cell_length_a 8.7497
_cell_length_b 8.7497
_cell_length_c 6.9131
_cell_angle_alpha 90.00
_cell_angle_beta 90.00
_cell_angle_gamma 90.00
loop_
_atom_site_label
_atom_site_type_symbol
_atom_site_fract_x
_atom_site_fract_y
_atom_site_fract_z
Ca1 Ca 0.2316 0.2500 0.1250
Mg1 Mg 0.0000 0.0000 0.5000
Cd1 Cd 0.0000 0.0000 0.0000

=====

--- D ---
# Ca2MgCd PBE relaxed
# Size of the total moment   0.00 Bohr magnetons per cell
# D(E_F)   12.8 states/eV per cell
data_Ca2MgCd
_chemical_formula_sum 'Ca6 Mg3 Cd3'
_symmetry_space_group_name_H-M 'R -3 m'
_symmetry_Int_Tables_number 166
_symmetry_space_group_name_Hall '-R 3 2"'
_cell_length_a 3.8553
_cell_length_b 3.8553
_cell_length_c 30.4507
_cell_angle_alpha 90.00
_cell_angle_beta 90.00
_cell_angle_gamma 120.00
loop_
_atom_site_label
_atom_site_type_symbol
_atom_site_fract_x
_atom_site_fract_y
_atom_site_fract_z
Ca1 Ca 0.0000 0.0000 0.2459
Mg1 Mg 0.0000 0.0000 0.0000
Cd1 Cd 0.0000 0.0000 0.5000

=====

Q: Which of them is the most stable? A: A.

=====

--- A ---
# Ca2MgCd PBE relaxed
# Size of the total moment   0.00 Bohr magnetons per cell
# D(E_F)   4.0 states/eV per cell
data_Ca2MgCd
_chemical_formula_sum 'Ca4 Mg2 Cd2'
_symmetry_space_group_name_H-M 'C 1 m 1'
_symmetry_Int_Tables_number 8
_symmetry_space_group_name_Hall 'C -2y'
_cell_length_a 12.2604
_cell_length_b 3.5433
_cell_length_c 5.8310
_cell_angle_alpha 90.00
_cell_angle_beta 109.35
_cell_angle_gamma 90.00
loop_
_atom_site_label
_atom_site_type_symbol
_atom_site_fract_x
_atom_site_fract_y
_atom_site_fract_z
Ca1 Ca 0.0000 0.0000 0.0000
Ca2 Ca 0.2035 0.0000 0.6437
Mg1 Mg 0.2595 0.5000 0.1845
Cd1 Cd 0.4599 0.0000 0.4812

=====

--- B ---
# Ca2MgCd PBE relaxed
# Size of the total moment   0.00 Bohr magnetons per cell
# D(E_F)   2.2 states/eV per cell
data_Ca2MgCd
_chemical_formula_sum 'Ca2 Mg1 Cd1'
_symmetry_space_group_name_H-M 'P 4 m m'
_symmetry_Int_Tables_number 99
_symmetry_space_group_name_Hall 'P 4 -2'
_cell_length_a 3.8188
_cell_length_b 3.8188
_cell_length_c 8.4114
_cell_angle_alpha 90.00
_cell_angle_beta 90.00
_cell_angle_gamma 90.00
loop_
_atom_site_label
_atom_site_type_symbol
_atom_site_fract_x
_atom_site_fract_y
_atom_site_fract_z
Ca1 Ca 0.0000 0.0000 0.0000
Ca2 Ca 0.5000 0.5000 0.3404
Mg1 Mg 0.5000 0.5000 0.7499
Cd1 Cd 0.0000 0.0000 0.5717

=====

Q: Which of them is the most stable? A: A.

=====

--- A ---
# CaMg4Cd PBE relaxed
# Size of the total moment   0.00 Bohr magnetons per cell
# D(E_F)   4.5 states/eV per cell
data_CaMg4Cd
_chemical_formula_sum 'Ca2 Mg8 Cd2'
_symmetry_space_group_name_H-M 'P m m a'
_symmetry_Int_Tables_number 51
_symmetry_space_group_name_Hall '-P 2a 2a'
_cell_length_a 8.7714
_cell_length_b 4.4809
_cell_length_c 7.8995
_cell_angle_alpha 90.00
_cell_angle_beta 90.00
_cell_angle_gamma 90.00
loop_
_atom_site_label
_atom_site_type_symbol
_atom_site_fract_x
_atom_site_fract_y
_atom_site_fract_z
Ca1 Ca 0.2500 0.0000 0.1192
Mg1 Mg 0.0000 0.0000 0.5000
Mg2 Mg 0.0515 0.5000 0.8078
Mg3 Mg 0.2500 0.5000 0.4517
Cd1 Cd 0.2500 0.0000 0.7213

=====

--- B ---
# CaMg4Cd PBE relaxed
# Size of the total moment   0.00 Bohr magnetons per cell
# D(E_F)   20.6 states/eV per cell
data_CaMg4Cd
_chemical_formula_sum 'Ca4 Mg16 Cd4'
_symmetry_space_group_name_H-M 'F -4 3 m'
_symmetry_Int_Tables_number 216
_symmetry_space_group_name_Hall 'F -4 2 3'
_cell_length_a 8.5065
_cell_length_b 8.5065
_cell_length_c 8.5065
_cell_angle_alpha 90.00
_cell_angle_beta 90.00
_cell_angle_gamma 90.00
loop_
_atom_site_label
_atom_site_type_symbol
_atom_site_fract_x
_atom_site_fract_y
_atom_site_fract_z
Ca1 Ca 0.0000 0.0000 0.0000
Mg1 Mg 0.1249 0.1249 0.3751
Cd1 Cd 0.2500 0.2500 0.7500

=====

--- C ---
# CaMg4Cd PBE relaxed
# Size of the total moment   0.00 Bohr magnetons per cell
# D(E_F)   10.9 states/eV per cell
data_CaMg4Cd
_chemical_formula_sum 'Ca4 Mg16 Cd4'
_symmetry_space_group_name_H-M 'C 1 2/m 1'
_symmetry_Int_Tables_number 12
_symmetry_space_group_name_Hall '-C 2y'
_cell_length_a 12.9466
_cell_length_b 6.4823
_cell_length_c 8.1136
_cell_angle_alpha 90.00
_cell_angle_beta 112.56
_cell_angle_gamma 90.00
loop_
_atom_site_label
_atom_site_type_symbol
_atom_site_fract_x
_atom_site_fract_y
_atom_site_fract_z
Ca1 Ca 0.2083 0.0000 0.3341
Mg1 Mg 0.0000 0.2507 0.5000
Mg2 Mg 0.1055 0.2552 0.9441
Mg3 Mg 0.2040 0.0000 0.7450
Cd1 Cd 0.0862 0.5000 0.2711

=====

Q: Which of them is the most stable? A: A.